A) ZnCoAs2Se | PBE-GGA | optimized geometry

Unit cell a=4.414 b=4.414 c=5.292 alpha=90.00 beta=90.00 gamma=90.00
Positions (direct):
As1 0.500 0.000 0.000
As2 0.000 0.500 0.000
Se1 0.000 0.000 0.500
Zn1 0.500 0.500 0.500
Co1 0.000 0.000 0.000

Calculated values
Fermi-level density of states (states/eV per cell): 3.09
Crystal system: tetragonal
Calculated volume (A^3/atom): 20.62

B) ZnCoAs2Se | PBE-GGA | optimized geometry

Unit cell a=4.739 b=4.739 c=4.989 alpha=90.00 beta=90.00 gamma=90.00
Each line ends with the local moment (μB).
Positions (direct):
As1 0.500 0.000 0.000  -0.02
As2 0.000 0.500 0.000  -0.02
Se1 0.000 0.000 0.500  -0.01
Co1 0.500 0.500 0.500  2.10
Zn1 0.000 0.000 0.000  0.00

Calculated values
Fermi-level density of states (states/eV per cell): 5.00
Crystal system: tetragonal
Calculated volume (A^3/atom): 22.41

Verdict on stability: A) comes out on top.

A) ZnCoAsSe2 | PBE-GGA | optimized geometry

Unit cell a=4.901 b=4.901 c=4.302 alpha=90.00 beta=90.00 gamma=90.00
Positions (direct):
Se1 0.000 0.500 0.000
Se2 0.500 0.000 0.000
As1 0.000 0.000 0.500
Co1 0.000 0.000 0.000
Zn1 0.500 0.500 0.500

Calculated values
Fermi-level density of states (states/eV per cell): 3.73
Crystal system: tetragonal
Calculated volume (A^3/atom): 20.67

B) ZnCoAsSe2 | PBE-GGA | optimized geometry

Unit cell a=4.947 b=4.947 c=4.680 alpha=90.00 beta=90.00 gamma=90.00
Each line ends with the local moment (μB).
Positions (direct):
Se1 0.500 0.000 0.000  0.02
Se2 0.000 0.500 0.000  0.02
Zn1 0.000 0.000 0.000  0.00
As1 0.000 0.000 0.500  -0.05
Co1 0.500 0.500 0.500  2.17

Calculated values
Fermi-level density of states (states/eV per cell): 6.26
Crystal system: tetragonal
Calculated volume (A^3/atom): 22.91

Verdict on stability: A) comes out on top.

A) Co3SiAs | PBE-GGA | optimized geometry

Unit cell a=4.214 b=4.214 c=4.214 alpha=90.00 beta=90.00 gamma=90.00
Each line ends with the local moment (μB).
Positions (direct):
Co1 0.000 0.000 0.500  0.95
Co2 0.500 0.000 0.000  1.03
Co3 0.000 0.500 0.000  1.03
Si1 0.000 0.000 0.000  -0.05
As1 0.500 0.500 0.500  0.00

Calculated values
Fermi-level density of states (states/eV per cell): 5.92
Crystal system: cubic
Calculated volume (A^3/atom): 14.96

B) Co3SiAs | PBE-GGA | optimized geometry

Unit cell a=4.297 b=4.297 c=4.297 alpha=90.00 beta=90.00 gamma=90.00
Each line ends with the local moment (μB).
Positions (direct):
Co1 0.500 0.000 0.000  1.35
Co2 0.000 0.000 0.500  0.97
Co3 0.000 0.500 0.000  1.10
As1 0.000 0.000 0.000  -0.01
Si1 0.500 0.500 0.500  0.06

Calculated values
Fermi-level density of states (states/eV per cell): 6.47
Crystal system: cubic
Calculated volume (A^3/atom): 15.87

Verdict on stability: A) comes out on top.

A) CoSiAs | PBE-GGA | optimized geometry

Unit cell a=5.883 b=5.883 c=2.771 alpha=76.38 beta=76.38 gamma=27.24
Each line ends with the local moment (μB).
Positions (direct):
Co1 0.674 0.674 0.326  0.36
As1 0.026 0.026 0.974  -0.01
Si1 0.300 0.300 0.700  0.00

Calculated values
Fermi-level density of states (states/eV per cell): 1.64
Crystal system: tetragonal
Calculated volume (A^3/atom): 14.19

B) CoSiAs | PBE-GGA | optimized geometry

Unit cell a=4.508 b=4.508 c=4.508 alpha=137.36 beta=137.54 gamma=61.74
Positions (direct):
Si1 0.677 0.677 0.000
Co1 0.324 0.324 0.000
As1 0.999 0.999 0.000

Calculated values
Fermi-level density of states (states/eV per cell): 2.15
Crystal system: orthorhombic
Calculated volume (A^3/atom): 13.80

C) CoSiAs | PBE-GGA | optimized geometry

Unit cell a=3.063 b=3.063 c=5.213 alpha=90.00 beta=90.00 gamma=120.00
Positions (direct):
As1 0.000 0.000 0.029
Co1 0.667 0.333 0.342
Si1 0.333 0.667 0.629

Calculated values
Fermi-level density of states (states/eV per cell): 2.85
Crystal system: trigonal
Calculated volume (A^3/atom): 14.12

D) CoSiAs | PBE-GGA | optimized geometry

Unit cell a=5.844 b=6.047 c=6.032 alpha=126.25 beta=90.00 gamma=90.00
Each line ends with the local moment (μB).
Positions (direct):
As1 0.118 0.835 0.171  0.00
As2 0.882 0.165 0.829  0.00
As3 0.618 0.165 0.329  0.00
As4 0.382 0.835 0.671  0.00
Co1 0.503 0.251 0.748  0.07
Co2 0.003 0.749 0.752  0.07
Co3 0.497 0.749 0.252  0.07
Co4 0.997 0.251 0.248  0.07
Si1 0.649 0.656 0.846  0.00
Si2 0.351 0.344 0.154  0.00
Si3 0.851 0.656 0.346  0.00
Si4 0.149 0.344 0.654  0.00

Calculated values
Fermi-level density of states (states/eV per cell): 5.10
Crystal system: monoclinic
Calculated volume (A^3/atom): 14.33

Verdict on stability: D) comes out on top.

A) SmCo3As3 | PBE-GGA | optimized geometry

Unit cell a=6.659 b=6.659 c=7.680 alpha=64.31 beta=64.31 gamma=60.00
Positions (direct):
Co1 0.775 0.122 0.626
Co2 0.122 0.476 0.626
Co3 0.878 0.524 0.374
Co4 0.476 0.775 0.626
Co5 0.225 0.878 0.374
Co6 0.524 0.225 0.374
As1 0.216 0.600 0.279
As2 0.400 0.096 0.721
As3 0.600 0.904 0.279
As4 0.784 0.400 0.721
As5 0.096 0.784 0.721
As6 0.904 0.216 0.279
Sm1 0.333 0.333 0.001
Sm2 0.667 0.667 0.999

Calculated values
Fermi-level density of states (states/eV per cell): 13.54
Crystal system: trigonal
Calculated volume (A^3/atom): 18.24

B) SmCo3As3 | PBE-GGA | optimized geometry

Unit cell a=6.358 b=6.358 c=6.358 alpha=90.00 beta=90.00 gamma=90.00
Positions (direct):
Co1 0.250 0.000 0.500
Co2 0.500 0.750 0.000
Co3 0.000 0.500 0.750
Co4 0.000 0.500 0.250
Co5 0.750 0.000 0.500
Co6 0.500 0.250 0.000
As1 0.000 0.750 0.500
As2 0.000 0.250 0.500
As3 0.500 0.000 0.250
As4 0.500 0.000 0.750
As5 0.250 0.500 0.000
As6 0.750 0.500 0.000
Sm1 0.000 0.000 0.000
Sm2 0.500 0.500 0.500

Calculated values
Fermi-level density of states (states/eV per cell): 14.52
Crystal system: cubic
Calculated volume (A^3/atom): 18.36

Verdict on stability: A) comes out on top.

A) CoSnAs | PBE-GGA | optimized geometry

Unit cell a=3.102 b=5.564 c=6.265 alpha=90.00 beta=90.00 gamma=90.00
Each line ends with the local moment (μB).
Positions (direct):
Co1 0.000 0.209 0.008  0.23
Co2 0.500 0.791 0.508  0.23
Sn1 0.500 0.562 0.144  -0.01
Sn2 0.000 0.438 0.644  -0.01
As1 0.000 0.054 0.356  -0.01
As2 0.500 0.946 0.856  -0.01

Calculated values
Fermi-level density of states (states/eV per cell): 4.44
Crystal system: orthorhombic
Calculated volume (A^3/atom): 18.02

B) CoSnAs | PBE-GGA | optimized geometry

Unit cell a=4.240 b=5.147 c=5.529 alpha=103.32 beta=112.55 gamma=90.00
Positions (direct):
As1 0.412 0.654 0.824
As2 0.588 0.346 0.176
Sn1 0.140 0.834 0.279
Sn2 0.860 0.166 0.721
Co1 0.190 0.357 0.380
Co2 0.810 0.643 0.620

Calculated values
Fermi-level density of states (states/eV per cell): 3.78
Crystal system: monoclinic
Calculated volume (A^3/atom): 17.99

Verdict on stability: A) comes out on top.

A) Co3SnAs | PBE-GGA | optimized geometry

Unit cell a=4.650 b=4.650 c=4.650 alpha=90.00 beta=90.00 gamma=90.00
Each line ends with the local moment (μB).
Positions (direct):
Sn1 0.000 0.000 0.000  -0.12
Co1 0.500 0.000 0.000  1.22
Co2 0.000 0.000 0.500  1.22
Co3 0.000 0.500 0.000  1.28
As1 0.500 0.500 0.500  -0.03

Calculated values
Fermi-level density of states (states/eV per cell): 6.88
Crystal system: cubic
Calculated volume (A^3/atom): 20.11

B) Co3SnAs | PBE-GGA | optimized geometry

Unit cell a=4.369 b=4.369 c=4.369 alpha=90.00 beta=90.00 gamma=90.00
Each line ends with the local moment (μB).
Positions (direct):
Co1 0.000 0.000 0.500  1.01
Co2 0.000 0.500 0.000  1.15
Co3 0.500 0.000 0.000  1.42
Sn1 0.500 0.500 0.500  0.07
As1 0.000 0.000 0.000  0.01

Calculated values
Fermi-level density of states (states/eV per cell): 4.52
Crystal system: cubic
Calculated volume (A^3/atom): 16.68

Verdict on stability: B) comes out on top.

A) SrCo3As | PBE-GGA | optimized geometry

Unit cell a=4.713 b=4.713 c=4.713 alpha=90.00 beta=90.00 gamma=90.00
Each line ends with the local moment (μB).
Positions (direct):
Co1 0.000 0.000 0.500  1.22
Co2 0.000 0.500 0.000  1.52
Co3 0.500 0.000 0.000  1.52
As1 0.500 0.500 0.500  0.09
Sr1 0.000 0.000 0.000  -0.16

Calculated values
Fermi-level density of states (states/eV per cell): 9.21
Crystal system: cubic
Calculated volume (A^3/atom): 20.94

B) SrCo3As | PBE-GGA | optimized geometry

Unit cell a=4.531 b=4.531 c=4.531 alpha=90.00 beta=90.00 gamma=90.00
Each line ends with the local moment (μB).
Positions (direct):
Co1 0.500 0.000 0.000  1.62
Co2 0.000 0.500 0.000  1.43
Co3 0.000 0.000 0.500  1.30
As1 0.000 0.000 0.000  0.01
Sr1 0.500 0.500 0.500  -0.08

Calculated values
Fermi-level density of states (states/eV per cell): 6.77
Crystal system: cubic
Calculated volume (A^3/atom): 18.60

Verdict on stability: B) comes out on top.

A) CoTcAs4 | PBE-GGA | optimized geometry

Unit cell a=4.856 b=6.440 c=6.341 alpha=90.00 beta=91.49 gamma=90.00
Each line ends with the local moment (μB).
Positions (direct):
Tc1 0.500 0.000 0.500  -0.08
Tc2 0.000 0.500 0.500  -0.08
As1 0.991 0.131 0.354  0.00
As2 0.039 0.359 0.865  0.00
As3 0.009 0.869 0.646  0.00
As4 0.509 0.631 0.646  0.00
As5 0.539 0.141 0.865  0.00
As6 0.461 0.859 0.135  0.00
As7 0.491 0.369 0.354  0.00
As8 0.961 0.641 0.135  0.00
Co1 0.000 0.000 0.000  0.46
Co2 0.500 0.500 0.000  0.46

Calculated values
Fermi-level density of states (states/eV per cell): 6.49
Crystal system: monoclinic
Calculated volume (A^3/atom): 16.52

B) CoTcAs4 | PBE-GGA | optimized geometry

Unit cell a=5.319 b=5.319 c=5.319 alpha=60.00 beta=60.00 gamma=60.00
Each line ends with the local moment (μB).
Positions (direct):
As1 0.375 0.375 0.375  0.01
As2 0.375 0.375 0.875  0.01
As3 0.875 0.375 0.375  0.01
As4 0.375 0.875 0.375  0.01
Co1 0.750 0.750 0.750  1.72
Tc1 0.000 0.000 0.000  -1.45

Calculated values
Fermi-level density of states (states/eV per cell): 7.46
Crystal system: cubic
Calculated volume (A^3/atom): 17.74

Verdict on stability: A) comes out on top.

A) Tl2CoAs | PBE-GGA | optimized geometry

Unit cell a=3.590 b=4.332 c=6.204 alpha=66.26 beta=90.00 gamma=90.00
Each line ends with the local moment (μB).
Positions (direct):
As1 0.500 0.250 0.250  0.02
Tl1 0.000 0.963 0.987  -0.01
Tl2 0.000 0.537 0.513  -0.01
Co1 0.500 0.750 0.750  1.49

Calculated values
Fermi-level density of states (states/eV per cell): 4.16
Crystal system: monoclinic
Calculated volume (A^3/atom): 22.08

B) Tl2CoAs | PBE-GGA | optimized geometry

Unit cell a=9.576 b=9.576 c=7.112 alpha=47.68 beta=47.68 gamma=90.00
Positions (direct):
Tl1 0.498 0.125 0.250
Tl2 0.375 0.502 0.750
Tl3 0.875 0.748 0.750
Tl4 0.252 0.625 0.250
As1 0.750 0.250 0.500
As2 0.000 0.000 0.000
Co1 0.250 0.750 0.500
Co2 0.500 0.500 0.000

Calculated values
Fermi-level density of states (states/eV per cell): 3.83
Crystal system: tetragonal
Calculated volume (A^3/atom): 24.92

C) Tl2CoAs | PBE-GGA | optimized geometry

Unit cell a=3.197 b=3.197 c=8.725 alpha=90.00 beta=90.00 gamma=90.00
Each line ends with the local moment (μB).
Positions (direct):
Tl1 0.000 0.000 0.940  0.00
Tl2 0.500 0.500 0.300  0.01
Co1 0.500 0.500 0.678  0.39
As1 0.000 0.000 0.583  0.00

Calculated values
Fermi-level density of states (states/eV per cell): 3.84
Crystal system: tetragonal
Calculated volume (A^3/atom): 22.29

Verdict on stability: C) comes out on top.

A) TlCoAs2 | PBE-GGA | optimized geometry

Unit cell a=4.724 b=4.724 c=4.724 alpha=60.00 beta=60.00 gamma=60.00
Positions (direct):
Co1 0.000 0.000 0.000
As1 0.750 0.750 0.750
As2 0.250 0.250 0.250
Tl1 0.500 0.500 0.500

Calculated values
Fermi-level density of states (states/eV per cell): 0.33
Crystal system: cubic
Calculated volume (A^3/atom): 18.64

B) TlCoAs2 | PBE-GGA | optimized geometry

Unit cell a=6.003 b=6.003 c=6.915 alpha=64.28 beta=64.28 gamma=90.00
Positions (direct):
As1 0.222 0.625 0.250
As2 0.528 0.125 0.250
As3 0.875 0.778 0.750
As4 0.375 0.472 0.750
Co1 0.250 0.750 0.500
Co2 0.500 0.500 0.000
Tl1 0.750 0.250 0.500
Tl2 0.000 0.000 0.000

Calculated values
Fermi-level density of states (states/eV per cell): 5.41
Crystal system: tetragonal
Calculated volume (A^3/atom): 24.59

C) TlCoAs2 | PBE-GGA | optimized geometry

Unit cell a=4.140 b=4.140 c=5.765 alpha=89.99 beta=90.00 gamma=90.00
Positions (direct):
As1 0.500 0.375 0.399
As2 0.000 0.875 0.101
Co1 0.000 0.375 0.250
Tl1 0.500 0.875 0.750

Calculated values
Fermi-level density of states (states/eV per cell): 3.59
Crystal system: tetragonal
Calculated volume (A^3/atom): 24.70

D) TlCoAs2 | PBE-GGA | optimized geometry

Unit cell a=6.013 b=6.013 c=6.013 alpha=151.86 beta=130.60 gamma=57.82
Each line ends with the local moment (μB).
Positions (direct):
Tl1 0.750 0.250 0.500  0.01
Co1 0.250 0.750 0.500  0.49
As1 0.067 0.067 0.000  -0.01
As2 0.433 0.433 0.000  -0.01

Calculated values
Fermi-level density of states (states/eV per cell): 3.06
Crystal system: orthorhombic
Calculated volume (A^3/atom): 19.33

Verdict on stability: B) comes out on top.